# 1
TlH8Ir2Pt | PBE | relaxed

The structure in POSCAR format:
```
TlH8Ir2Pt
1.0
4.850 0.000 0.000
2.425 4.200 0.000
2.425 1.400 6.572
H Ir Pt Tl
8 2 1 1
Direct
0.241 0.962 0.168
0.759 0.038 0.832
0.220 0.220 0.339
0.780 0.780 0.661
0.371 0.759 0.832
0.962 0.629 0.168
0.629 0.241 0.168
0.038 0.371 0.832
0.301 0.301 0.098
0.699 0.699 0.902
0.000 0.000 0.000
0.500 0.500 0.500
```

The calculated volume is 134 Å³/cell. The total moment is 0.000 μB/cell. Its space group is No. 148. As for the crystal system: trigonal. The value obtained for the density is 9.8 g/cm³. As for the calculated total energy: -4.284 eV per atom.

# 2
TlH8IrPt2 | PBE | relaxed

The structure in POSCAR format:
```
TlH8IrPt2
1.0
-2.360 -3.902 -0.999
2.616 -2.665 2.806
-3.325 0.836 4.077
Pt H Tl Ir
2 8 1 1
Direct
0.595 0.595 0.249
0.405 0.405 0.751
0.628 0.627 0.584
0.310 0.848 0.155
0.847 0.310 0.155
0.745 0.744 0.978
0.690 0.152 0.845
0.255 0.256 0.022
0.153 0.690 0.845
0.372 0.373 0.416
0.000 0.000 0.500
0.000 0.000 0.000
```

The calculated volume is 116 Å³/cell. The total moment is 0.000 μB/cell. Its space group is No. 12. As for the crystal system: monoclinic. The value obtained for the density is 11.4 g/cm³. As for the calculated total energy: -4.085 eV per atom.

# 3
UH8Ir2Pt | PBE | relaxed

The structure in POSCAR format:
```
UH8Ir2Pt
1.0
-0.259 2.868 -2.920
-4.674 1.471 -1.019
-2.119 5.402 2.614
H Ir U Pt
8 2 1 1
Direct
0.374 0.994 0.753
0.303 0.528 0.867
0.697 0.472 0.133
0.626 0.006 0.247
0.121 0.006 0.247
0.138 0.249 0.476
0.862 0.751 0.524
0.879 0.994 0.753
0.245 0.328 0.181
0.755 0.672 0.819
0.500 0.500 0.500
0.000 0.000 0.000
```

The calculated volume is 103 Å³/cell. The total moment is 2.207 μB/cell. Its space group is No. 12. As for the crystal system: monoclinic. The value obtained for the density is 13.3 g/cm³. As for the calculated total energy: -5.157 eV per atom.

# 4
VHIr2Pt | PBE | relaxed

The structure in POSCAR format:
```
VHIr2Pt
1.0
3.917 0.000 0.000
0.000 3.917 0.000
0.000 0.000 3.919
H Pt Ir V
1 1 2 1
Direct
0.000 0.000 0.000
0.500 0.500 0.500
0.000 0.500 0.000
0.500 0.000 0.000
0.000 0.000 0.500
```

The calculated volume is 60 Å³/cell. The total moment is 1.012 μB/cell. Its space group is No. 123. As for the crystal system: tetragonal. The value obtained for the density is 17.4 g/cm³. As for the calculated total energy: -7.453 eV per atom.